16
Lattice="7.3917 0.0000 0.0000 0.0000 7.3917 0.0000 0.0000 0.0000 7.3917" Properties=species:S:1:pos:R:3 comment="PBE GdHoSnAu, optimized geometry" energy_ev_per_atom=-7.22 vol_a3_per_atom=25.2 space_group=F-43m crystal_system=cubic formation_energy_mev_per_atom=-733 magnetic_moment_mub_per_cell=31.33 pbc="T T T"
Gd 0.0000 0.0000 0.0000
Gd 0.0000 3.6959 3.6959
Gd 3.6959 0.0000 3.6959
Gd 3.6959 3.6959 0.0000
Ho 0.0000 0.0000 3.6959
Ho 0.0000 3.6959 0.0000
Ho 3.6959 0.0000 0.0000
Ho 3.6959 3.6959 3.6959
Sn 1.8479 1.8479 1.8479
Sn 1.8479 5.5438 5.5438
Sn 5.5438 1.8479 5.5438
Sn 5.5438 5.5438 1.8479
Au 1.8479 1.8479 5.5438
Au 1.8479 5.5438 1.8479
Au 5.5438 1.8479 1.8479
Au 5.5438 5.5438 5.5438